[1]
VASP calculation (SCAN) on MgC2 at its PBEsol-relaxed geometry.

Results
- Calculated density: 1.809 Mg/m³
- Calculated formation energy: 0.68 eV per atom
- E above lowest polymorph: 330 meV per atom
- Size of the total moment: 0.00 μB/f.u.

a = 3.5860 Å, b = 3.5860 Å, c = 11.9501 Å
α = 90.00°, β = 90.00°, γ = 120.00°
Last column: nearest neighbours and their distance in Å.
Sites, in units of the cell vectors:
Mg 0.3333 0.6667 0.1420  1 C 2.04
C 0.0000 0.0000 0.0532  1 C 1.27
Mg 0.6667 0.3333 0.8580  1 C 2.04
Mg 0.0000 0.0000 0.5000  6 C 2.29
C 0.3333 0.6667 0.4175  1 C 1.25
C 0.6667 0.3333 0.5825  1 C 1.25
C 0.6667 0.3333 0.6869  1 C 1.25
C 0.0000 0.0000 0.9468  1 C 1.27
C 0.3333 0.6667 0.3131  1 C 1.25



[2]
VASP calculation (SCAN) on MgC2 at its PBEsol-relaxed geometry.

Results
- Calculated density: 2.205 Mg/m³
- Calculated formation energy: 1.06 eV per atom
- E above lowest polymorph: 711 meV per atom
- Size of the total moment: 0.13 μB/f.u.

a = 4.5940 Å, b = 4.5940 Å, c = 4.5940 Å
α = 98.91°, β = 114.99°, γ = 114.99°
Last column: nearest neighbours and their distance in Å.
Sites, in units of the cell vectors:
C 0.6809 0.0904 0.5904  1 C 1.26
Mg 0.0000 0.2500 0.2500  8 C 2.55
C 0.5000 0.5904 0.9096  1 C 1.26
C 0.3191 0.9096 0.4096  1 C 1.26
C 0.5000 0.4096 0.0904  1 C 1.26
Mg 0.0000 0.7500 0.7500  8 C 2.55



[3]
VASP calculation (SCAN) on MgC2 at its PBEsol-relaxed geometry.

Results
- Calculated density: 2.565 Mg/m³
- Calculated formation energy: 0.52 eV per atom
- E above lowest polymorph: 169 meV per atom
- Size of the total moment: 0.00 μB/f.u.

a = 2.5933 Å, b = 2.5933 Å, c = 10.7421 Å
α = 90.00°, β = 90.00°, γ = 120.00°
Last column: nearest neighbours and their distance in Å.
Sites, in units of the cell vectors:
Mg 0.6667 0.3333 0.2500  6 Mg 2.59, 2 C 2.70
C 0.3333 0.6667 0.0017  3 C 1.50
Mg 0.3333 0.6667 0.7500  6 Mg 2.59, 2 C 2.70
C 0.6667 0.3333 0.9983  3 C 1.50
C 0.3333 0.6667 0.4983  3 C 1.50
C 0.6667 0.3333 0.5017  3 C 1.50



[4]
VASP calculation (SCAN) on MgC4 at its PBEsol-relaxed geometry.

Results
- Calculated density: 3.050 Mg/m³
- Calculated formation energy: 1.14 eV per atom
- E above lowest polymorph: 0 meV per atom
- Size of the total moment: 0.00 μB/f.u.

a = 2.6254 Å, b = 2.6254 Å, c = 6.5982 Å
α = 90.00°, β = 90.00°, γ = 120.00°
Last column: nearest neighbours and their distance in Å.
Sites, in units of the cell vectors:
C 0.3333 0.6667 0.2353  1 C 1.45
Mg 0.0000 0.0000 0.0000  6 C 2.17
C 0.6667 0.3333 0.7647  1 C 1.45
C 0.3333 0.6667 0.4557  4 C 1.45-1.62
C 0.6667 0.3333 0.5443  4 C 1.45-1.62



[5]
VASP calculation (SCAN) on Mg8C at its PBEsol-relaxed geometry.

Results
- Calculated density: 1.840 Mg/m³
- Calculated formation energy: 0.38 eV per atom
- Size of the total moment: 0.00 μB/f.u.

a = 3.0346 Å, b = 7.9819 Å, c = 7.9819 Å
α = 87.93°, β = 79.04°, γ = 79.04°
Last column: nearest neighbours and their distance in Å.
Sites, in units of the cell vectors:
Mg 0.6270 0.0000 0.7459  2 C 2.50
C 0.0000 0.0000 0.0000  8 Mg 2.50
Mg 0.3336 0.6664 0.6664  10 Mg 3.02-3.09
Mg 0.3730 0.2541 0.0000  2 C 2.50
Mg 0.3730 0.0000 0.2541  2 C 2.50
Mg 0.0000 0.3336 0.6664  10 Mg 3.02-3.09
Mg 0.6664 0.3336 0.3336  10 Mg 3.02-3.09
Mg 0.6270 0.7459 0.0000  2 C 2.50
Mg 0.0000 0.6664 0.3336  10 Mg 3.02-3.09



[6]
VASP calculation (SCAN) on MgC2 at its PBEsol-relaxed geometry.

Results
- Calculated density: 2.085 Mg/m³
- Calculated formation energy: 3.00 eV per atom
- E above lowest polymorph: 2655 meV per atom
- Size of the total moment: 0.66 μB/f.u.

a = 2.3652 Å, b = 5.7053 Å, c = 5.7053 Å
α = 90.00°, β = 90.00°, γ = 90.00°
Last column: nearest neighbours and their distance in Å.
Sites, in units of the cell vectors:
Mg 0.0000 0.5000 0.5000  6 C 2.15-2.22, 2 Mg 2.37
C 0.5000 0.2668 0.7332  3 Mg 2.15-2.22, 2 C 2.37
C 0.0000 0.7668 0.7668  3 Mg 2.15-2.22, 2 C 2.37
Mg 0.5000 0.0000 0.0000  6 C 2.15-2.22, 2 Mg 2.37
C 0.0000 0.2332 0.2332  3 Mg 2.15-2.22, 2 C 2.37
C 0.5000 0.7332 0.2668  3 Mg 2.15-2.22, 2 C 2.37



[7]
VASP calculation (SCAN) on MgC at its PBEsol-relaxed geometry.

Results
- Calculated density: 2.050 Mg/m³
- Calculated formation energy: 1.57 eV per atom
- E above lowest polymorph: 1119 meV per atom
- Size of the total moment: 0.00 μB/f.u.

a = 4.4402 Å, b = 4.4581 Å, c = 4.4581 Å
α = 90.00°, β = 90.00°, γ = 90.00°
Last column: nearest neighbours and their distance in Å.
Sites, in units of the cell vectors:
Mg 0.0000 0.0000 0.5000  4 C 2.22-2.23
Mg 0.5000 0.5000 0.5000  6 C 2.22-2.23
Mg 0.0000 0.5000 0.0000  4 C 2.22-2.23
C 0.5000 0.0000 0.5000  4 Mg 2.22-2.23
C 0.5000 0.5000 0.0000  4 Mg 2.22-2.23
C 0.0000 0.5000 0.5000  6 Mg 2.22-2.23



[8]
VASP calculation (SCAN) on MgC2 at its PBEsol-relaxed geometry.

Results
- Calculated density: 2.559 Mg/m³
- Calculated formation energy: 0.52 eV per atom
- E above lowest polymorph: 172 meV per atom
- Size of the total moment: 0.00 μB/f.u.

a = 2.5929 Å, b = 2.5929 Å, c = 5.5906 Å
α = 76.59°, β = 76.59°, γ = 60.00°
Last column: nearest neighbours and their distance in Å.
Sites, in units of the cell vectors:
Mg 0.0000 0.0000 0.0000  6 Mg 2.59, 2 C 2.71
C 0.8322 0.8322 0.5034  3 C 1.50
C 0.1678 0.1678 0.4966  3 C 1.50



[9]
VASP calculation (SCAN) on MgC2 at its PBEsol-relaxed geometry.

Results
- Calculated density: 2.261 Mg/m³
- Calculated formation energy: 0.35 eV per atom
- E above lowest polymorph: 0 meV per atom
- Size of the total moment: 0.00 μB/f.u.

a = 3.2817 Å, b = 3.6762 Å, c = 3.6763 Å
α = 76.73°, β = 63.49°, γ = 63.49°
Last column: nearest neighbours and their distance in Å.
Sites, in units of the cell vectors:
C 0.5000 0.6377 0.3623  1 C 1.26
C 0.5000 0.3623 0.6377  1 C 1.26
Mg 0.0000 0.0000 0.0000  8 C 2.33-2.45



[10]
VASP calculation (SCAN) on Mg4C5 at its PBEsol-relaxed geometry.

Results
- Calculated density: 2.359 Mg/m³
- Calculated formation energy: 0.84 eV per atom
- Size of the total moment: 0.00 μB/f.u.

a = 2.6441 Å, b = 6.6039 Å, c = 6.6039 Å
α = 87.70°, β = 78.45°, γ = 78.45°
Last column: nearest neighbours and their distance in Å.
Sites, in units of the cell vectors:
C 0.2735 0.0000 0.4529  2 C 1.46
Mg 0.2302 0.7698 0.7698  1 C 2.11
Mg 0.0000 0.2302 0.7698  1 C 2.11
Mg 0.0000 0.7698 0.2302  1 C 2.11
C 0.0000 0.0000 0.0000  4 Mg 2.11
C 0.7265 0.5471 0.0000  2 C 1.46
C 0.2735 0.4529 0.0000  2 C 1.46
C 0.7265 0.0000 0.5471  2 C 1.46
Mg 0.7698 0.2302 0.2302  1 C 2.11



[11]
VASP calculation (SCAN) on Mg5C at its PBEsol-relaxed geometry.

Results
- Calculated density: 1.956 Mg/m³
- Calculated formation energy: 0.29 eV per atom
- Size of the total moment: 0.27 μB/f.u.

a = 3.1702 Å, b = 5.6250 Å, c = 6.6829 Å
α = 97.15°, β = 90.00°, γ = 106.37°
Last column: nearest neighbours and their distance in Å.
Sites, in units of the cell vectors:
Mg 0.7368 0.4735 0.4016  10 Mg 3.03-3.34
Mg 0.6305 0.2610 0.9586  2 C 2.27
Mg 0.3498 0.6996 0.7766  2 C 2.25
C 0.9791 0.9582 0.9241  7 Mg 2.25-2.44
Mg 0.0387 0.0775 0.5915  1 C 2.39
Mg 0.4318 0.8635 0.1809  2 C 2.44



[12]
VASP calculation (SCAN) on MgC at its PBEsol-relaxed geometry.

Results
- Calculated density: 2.101 Mg/m³
- Calculated formation energy: 1.69 eV per atom
- E above lowest polymorph: 1239 meV per atom
- Size of the total moment: 0.00 μB/f.u.

a = 4.4158 Å, b = 4.4158 Å, c = 4.4158 Å
α = 90.00°, β = 90.00°, γ = 90.00°
Last column: nearest neighbours and their distance in Å.
Sites, in units of the cell vectors:
C 0.0000 0.5000 0.5000  4 Mg 2.21
Mg 0.0000 0.0000 0.5000  4 C 2.21
C 0.5000 0.5000 0.0000  4 Mg 2.21
Mg 0.5000 0.0000 0.0000  4 C 2.21
Mg 0.0000 0.5000 0.0000  4 C 2.21
C 0.5000 0.0000 0.5000  4 Mg 2.21